(1)
BeB4W: relaxed, GGA-PBE.

As for the energy relative to the lowest polymorph listed for this composition: 0.021 eV/atom. As for the uncorrected energy: -7.279 eV/atom. The calculation puts the volume at 8.07 Å³/atom.

a b c (Å): 2.933 2.933 6.502
angles (deg): 90.00 90.00 120.00
Positions (direct):
Be (0.000, 0.000, 0.000)
B (0.333, 0.667, 0.229)
B (0.333, 0.667, 0.771)
B (0.667, 0.333, 0.229)
B (0.667, 0.333, 0.771)
W (0.000, 0.000, 0.500)

(2)
YIn4GaCo: relaxed, GGA-PBE.

As for the uncorrected energy: -4.199 eV/atom. The calculation puts the volume at 21.60 Å³/atom.

a b c (Å): 4.503 4.503 7.456
angles (deg): 90.00 90.00 90.00
Positions (direct):
Y (0.000, 0.000, 0.000)
In (0.000, 0.500, 0.303)
In (0.000, 0.500, 0.697)
In (0.500, 0.000, 0.303)
In (0.500, 0.000, 0.697)
Ga (0.500, 0.500, 0.000)
Co (0.000, 0.000, 0.500)

(3)
PrGdAl2: relaxed, GGA-PBE.

As for the energy relative to the lowest polymorph listed for this composition: 0.003 eV/atom. As for the uncorrected energy: -4.623 eV/atom. The calculation puts the volume at 24.89 Å³/atom.

a b c (Å): 5.699 5.963 5.963
angles (deg): 100.74 90.00 90.00
Positions (direct):
Pr (0.000, 0.180, 0.820)
Pr (0.000, 0.820, 0.180)
Gd (0.500, 0.503, 0.866)
Gd (0.500, 0.866, 0.503)
Al (0.000, 0.646, 0.646)
Al (0.252, 0.344, 0.344)
Al (0.500, 0.035, 0.035)
Al (0.748, 0.344, 0.344)

(4)
TbAg2Au: relaxed, GGA-PBE.

As for the uncorrected energy: -3.841 eV/atom. The calculation puts the volume at 20.24 Å³/atom. The value obtained for the formation enthalpy at 0 K is -455 meV per atom.

a b c (Å): 5.067 6.074 5.260
angles (deg): 90.00 90.00 90.00
Positions (direct):
Tb (0.250, 0.250, 0.139)
Tb (0.750, 0.750, 0.861)
Ag (0.250, 0.506, 0.645)
Ag (0.250, 0.994, 0.645)
Ag (0.750, 0.006, 0.355)
Ag (0.750, 0.494, 0.355)
Au (0.250, 0.750, 0.162)
Au (0.750, 0.250, 0.838)

(5)
TbSmGa2Ag2: relaxed, GGA-PBE.

As for the energy relative to the lowest polymorph listed for this composition: 0.000 eV/atom. As for the uncorrected energy: -4.011 eV/atom. The calculation puts the volume at 21.99 Å³/atom.

a b c (Å): 4.619 4.619 7.140
angles (deg): 90.00 90.00 120.00
Positions (direct):
Tb (0.000, 0.000, 0.000)
Sm (0.000, 0.000, 0.500)
Ga (0.667, 0.333, 0.217)
Ga (0.667, 0.333, 0.783)
Ag (0.333, 0.667, 0.258)
Ag (0.333, 0.667, 0.742)

(6)
Cu2Ag3: relaxed, GGA-PBE.

As for the energy relative to the lowest polymorph listed for this composition: 0.039 eV/atom. As for the uncorrected energy: -3.110 eV/atom. The calculation puts the volume at 15.51 Å³/atom. The value obtained for the formation enthalpy at 0 K is 71 meV per atom.

a b c (Å): 4.973 4.973 11.477
angles (deg): 97.91 97.91 33.50
Positions (direct):
Cu (0.175, 0.175, 0.058)
Cu (0.235, 0.235, 0.766)
Cu (0.765, 0.765, 0.234)
Cu (0.825, 0.825, 0.942)
Ag (0.065, 0.065, 0.335)
Ag (0.353, 0.353, 0.440)
Ag (0.460, 0.460, 0.126)
Ag (0.540, 0.540, 0.874)
Ag (0.647, 0.647, 0.560)
Ag (0.935, 0.935, 0.665)